This record from Alexandria via LeMat-Bulk describes an optimized crystal structure of Ac2Sb3Pd2. The functional is GGA-PBE.

Volume: 382.6 Å³/cell
Symmetry: Cmcm, No. 63
Uncorrected formation energy: -0.86 eV/atom
Final energy: -5.2837 eV per atom
Spin magnetization: 0.0 μB per formula unit

Lattice parameters (Å, degrees): 11.0814 11.0814 7.4489 90.00 90.00 155.28
Fractional positions:
Ac1 0.0370 0.9630 0.7500
Ac2 0.1654 0.8346 0.2500
Ac3 0.8346 0.1654 0.7500
Ac4 0.9630 0.0370 0.2500
Sb1 0.2087 0.7913 0.7500
Sb2 0.4194 0.5806 0.5394
Sb3 0.4194 0.5806 0.9606
Sb4 0.5806 0.4194 0.0394
Sb5 0.5806 0.4194 0.4606
Sb6 0.7913 0.2087 0.2500
Pd1 0.2931 0.7069 0.0409
Pd2 0.2931 0.7069 0.4591
Pd3 0.7069 0.2931 0.5409
Pd4 0.7069 0.2931 0.9591

***

This record from Alexandria via LeMat-Bulk describes an optimized crystal structure of BaBeZn2Pt. The functional is GGA-PBE.

Volume: 110.6 Å³/cell
Symmetry: P4/mmm, No. 123
Final energy: -3.1860 eV per atom
Spin magnetization: 0.0 μB per formula unit

Lattice parameters (Å, degrees): 4.9446 4.9446 4.5256 90.00 90.00 90.00
Fractional positions:
Ba1 0.0000 0.0000 0.0000
Be1 0.5000 0.5000 0.0000
Zn1 0.0000 0.5000 0.5000
Zn2 0.5000 0.0000 0.5000
Pt1 0.5000 0.5000 0.5000

***

This record from Alexandria via LeMat-Bulk describes an optimized crystal structure of Ca2CrTe. The functional is GGA-PBE.

Volume: 119.9 Å³/cell
Symmetry: P4mm, No. 99
Uncorrected formation energy: -0.18 eV/atom
Final energy: -4.3743 eV per atom
Spin magnetization: 4.1 μB per formula unit

Lattice parameters (Å, degrees): 4.2947 4.2947 6.4985 90.00 90.00 90.00
Fractional positions:
Ca1 0.0000 0.0000 0.0000
Ca2 0.5000 0.5000 0.3379
Cr1 0.0000 0.0000 0.5004
Te1 0.5000 0.5000 0.8280

***

This record from Alexandria via LeMat-Bulk describes an optimized crystal structure of ZnPCO2. The functional is GGA-PBE.

Volume: 50.6 Å³/cell
Symmetry: P4/mmm, No. 123
Uncorrected formation energy: 0.91 eV/atom
Final energy: -4.2531 eV per atom
Spin magnetization: 0.2 μB per formula unit

Lattice parameters (Å, degrees): 3.5123 3.5123 4.1019 90.00 90.00 90.00
Fractional positions:
Zn1 0.0000 0.0000 0.0000
P1 0.5000 0.5000 0.0000
C1 0.5000 0.5000 0.5000
O1 0.0000 0.5000 0.5000
O2 0.5000 0.0000 0.5000

***

This record from Alexandria via LeMat-Bulk describes an optimized crystal structure of GdHgSbAu. The functional is GGA-PBE.

Volume: 96.4 Å³/cell
Symmetry: F-43m, No. 216
Uncorrected formation energy: -0.46 eV/atom
Final energy: -5.9048 eV per atom
Spin magnetization: 6.9 μB per formula unit

Lattice parameters (Å, degrees): 5.1464 5.1464 5.1464 60.00 60.00 60.00
Fractional positions:
Gd1 0.0000 0.0000 0.0000
Hg1 0.2500 0.2500 0.2500
Sb1 0.5000 0.5000 0.5000
Au1 0.7500 0.7500 0.7500

***

This record from Alexandria via LeMat-Bulk describes an optimized crystal structure of PrYPu2S4. The functional is GGA-PBE.

Volume: 179.3 Å³/cell
Symmetry: P2/m, No. 10
Uncorrected formation energy: -1.89 eV/atom
Final energy: -8.9466 eV per atom
Spin magnetization: 0.1 μB per formula unit

Lattice parameters (Å, degrees): 6.8564 3.9806 6.9686 90.00 109.51 90.00
Fractional positions:
Pr1 0.0000 0.0000 0.0000
Y1 0.0000 0.5000 0.5000
Pu1 0.5000 0.0000 0.5000
Pu2 0.5000 0.5000 0.0000
S1 0.2519 0.0000 0.7444
S2 0.2576 0.5000 0.2608
S3 0.7425 0.5000 0.7392
S4 0.7481 0.0000 0.2556

***

This record from Alexandria via LeMat-Bulk describes an optimized crystal structure of TiMn2Si2. The functional is GGA-PBE.

Volume: 127.7 Å³/cell
Symmetry: P4/mbm, No. 127
Uncorrected formation energy: -0.41 eV/atom
Final energy: -7.8275 eV per atom
Spin magnetization: 3.1 μB per formula unit

Lattice parameters (Å, degrees): 6.9325 6.9325 2.6582 90.00 90.00 90.00
Fractional positions:
Ti1 0.0000 0.0000 0.0000
Ti2 0.5000 0.5000 0.0000
Mn1 0.1465 0.3535 0.5000
Mn2 0.3535 0.8535 0.5000
Mn3 0.6465 0.1465 0.5000
Mn4 0.8535 0.6465 0.5000
Si1 0.1459 0.6459 0.0000
Si2 0.3541 0.1459 0.0000
Si3 0.6459 0.8541 0.0000
Si4 0.8541 0.3541 0.0000

***

This record from Alexandria via LeMat-Bulk describes an optimized crystal structure of CsTlHg2Au. The functional is GGA-PBE.

Volume: 166.2 Å³/cell
Symmetry: Imm2, No. 44
Final energy: -1.5995 eV per atom
Spin magnetization: 0.0 μB per formula unit

Lattice parameters (Å, degrees): 7.4507 7.4507 7.4507 140.87 140.04 57.16
Fractional positions:
Cs1 0.0000 0.0000 0.0000
Tl1 0.2581 0.7581 0.5000
Hg1 0.6055 0.6055 0.0000
Hg2 0.7617 0.2617 0.5000
Au1 0.3838 0.3838 0.0000

***

This record from Alexandria via LeMat-Bulk describes an optimized crystal structure of Tb4SmHo8. The functional is GGA-PBE.

Volume: 413.5 Å³/cell
Symmetry: R-3m, No. 166
Final energy: -4.4005 eV per atom
Spin magnetization: 0.0 μB per formula unit

Lattice parameters (Å, degrees): 9.9301 9.9301 9.9301 43.04 43.04 43.04
Fractional positions:
Tb1 0.0000 0.0000 0.0000
Tb2 0.0000 0.5000 0.5000
Tb3 0.5000 0.0000 0.5000
Tb4 0.5000 0.5000 0.0000
Sm1 0.5000 0.5000 0.5000
Ho1 0.1934 0.7502 0.7502
Ho2 0.2178 0.2178 0.2178
Ho3 0.2498 0.2498 0.8066
Ho4 0.2498 0.8066 0.2498
Ho5 0.7502 0.1934 0.7502
Ho6 0.7502 0.7502 0.1934
Ho7 0.7822 0.7822 0.7822
Ho8 0.8066 0.2498 0.2498

***

This record from Alexandria via LeMat-Bulk describes an optimized crystal structure of Nb2CrW. The functional is GGA-PBE.

Volume: 66.9 Å³/cell
Symmetry: C2/m, No. 12
Final energy: -10.2565 eV per atom
Spin magnetization: 0.0 μB per formula unit

Lattice parameters (Å, degrees): 4.9513 4.9513 5.3064 90.03 90.03 30.95
Fractional positions:
Nb1 0.2423 0.2423 0.2549
Nb2 0.7577 0.7577 0.7451
Cr1 0.5000 0.5000 0.5000
W1 0.5000 0.5000 0.0000

***

This record from Alexandria via LeMat-Bulk describes an optimized crystal structure of La3NdHo4. The functional is GGA-PBE.

Volume: 543.8 Å³/cell
Symmetry: Pmn2_1, No. 31
Final energy: -4.6989 eV per atom
Spin magnetization: 0.0 μB per formula unit

Lattice parameters (Å, degrees): 11.6640 7.3366 6.3545 90.00 90.00 90.00
Fractional positions:
La1 0.0000 0.1281 0.0000
La2 0.2497 0.1261 0.3310
La3 0.2503 0.8739 0.8310
La4 0.5000 0.8719 0.5000
La5 0.7503 0.1261 0.3310
La6 0.7497 0.8739 0.8310
Nd1 0.0000 0.8690 0.4996
Nd2 0.5000 0.1310 0.9996
Ho1 0.0000 0.3799 0.5001
Ho2 0.0000 0.6206 0.0013
Ho3 0.2494 0.6196 0.3315
Ho4 0.2506 0.3804 0.8315
Ho5 0.5000 0.3794 0.5013
Ho6 0.5000 0.6201 0.0001
Ho7 0.7494 0.3804 0.8315
Ho8 0.7506 0.6196 0.3315

***

This record from Alexandria via LeMat-Bulk describes an optimized crystal structure of Ce2CoSn8. The functional is GGA-PBE.

Volume: 269.9 Å³/cell
Symmetry: P4/mmm, No. 123
Final energy: -5.0121 eV per atom
Spin magnetization: 0.7 μB per formula unit

Lattice parameters (Å, degrees): 4.6616 4.6616 12.4212 90.00 90.00 90.00
Fractional positions:
Ce1 0.0000 0.0000 0.1895
Ce2 0.0000 0.0000 0.8105
Co1 0.0000 0.0000 0.5000
Sn1 0.0000 0.5000 0.0000
Sn2 0.0000 0.5000 0.3809
Sn3 0.0000 0.5000 0.6191
Sn4 0.5000 0.0000 0.0000
Sn5 0.5000 0.0000 0.3809
Sn6 0.5000 0.0000 0.6191
Sn7 0.5000 0.5000 0.1913
Sn8 0.5000 0.5000 0.8087

***

This record from Alexandria via LeMat-Bulk describes an optimized crystal structure of PuFeTcW. The functional is GGA-PBE.

Volume: 65.1 Å³/cell
Symmetry: F-43m, No. 216
Final energy: -11.2978 eV per atom
Spin magnetization: 3.0 μB per formula unit

Lattice parameters (Å, degrees): 4.5156 4.5156 4.5156 60.00 60.00 60.00
Fractional positions:
Pu1 0.0000 0.0000 0.0000
Fe1 0.7500 0.7500 0.7500
Tc1 0.2500 0.2500 0.2500
W1 0.5000 0.5000 0.5000

***

This record from Alexandria via LeMat-Bulk describes an optimized crystal structure of BaMnSe2. The functional is GGA-PBE.

Volume: 92.9 Å³/cell
Symmetry: Fm-3m, No. 225
Uncorrected formation energy: -0.05 eV/atom
Final energy: -4.5643 eV per atom
Spin magnetization: 0.0 μB per formula unit

Lattice parameters (Å, degrees): 5.0837 5.0837 5.0837 60.00 60.00 60.00
Fractional positions:
Ba1 0.0000 0.0000 0.0000
Mn1 0.5000 0.5000 0.5000
Se1 0.2500 0.2500 0.2500
Se2 0.7500 0.7500 0.7500

***

This record from Alexandria via LeMat-Bulk describes an optimized crystal structure of Rb2ZrTlO4. The functional is GGA-PBE.

Volume: 183.7 Å³/cell
Symmetry: I-4, No. 82
Uncorrected formation energy: -1.85 eV/atom
Final energy: -5.9360 eV per atom
Spin magnetization: 0.0 μB per formula unit

Lattice parameters (Å, degrees): 6.4928 6.4928 6.4928 123.08 123.08 84.74
Fractional positions:
Rb1 0.0000 0.0000 0.0000
Rb2 0.7500 0.2500 0.5000
Zr1 0.5000 0.5000 0.0000
Tl1 0.2500 0.7500 0.5000
O1 0.2278 0.6059 0.0615
O2 0.3941 0.4556 0.6219
O3 0.5444 0.1663 0.9385
O4 0.8337 0.7722 0.3781

***

This record from Alexandria via LeMat-Bulk describes an optimized crystal structure of K2Tl2Au. The functional is GGA-PBE.

Volume: 337.8 Å³/cell
Symmetry: C2/m, No. 12
Final energy: -2.2029 eV per atom
Spin magnetization: 0.0 μB per formula unit

Lattice parameters (Å, degrees): 6.7868 6.7868 11.0897 110.65 110.65 45.72
Fractional positions:
K1 0.1198 0.1198 0.4020
K2 0.1720 0.1720 0.0331
K3 0.8280 0.8280 0.9669
K4 0.8802 0.8802 0.5980
Tl1 0.3987 0.3987 0.3514
Tl2 0.4725 0.4725 0.8487
Tl3 0.5275 0.5275 0.1513
Tl4 0.6013 0.6013 0.6486
Au1 0.2199 0.2199 0.7387
Au2 0.7801 0.7801 0.2613

***

This record from Alexandria via LeMat-Bulk describes an optimized crystal structure of ErCu2S2. The functional is GGA-PBE.

Volume: 170.3 Å³/cell
Symmetry: C2/c, No. 15
Uncorrected formation energy: -0.68 eV/atom
Final energy: -4.8853 eV per atom
Spin magnetization: 0.0 μB per formula unit

Lattice parameters (Å, degrees): 6.3674 6.3674 5.9678 117.95 117.95 96.73
Fractional positions:
Er1 0.1250 0.8750 0.7500
Er2 0.8750 0.1250 0.2500
Cu1 0.2225 0.4710 0.9446
Cu2 0.4710 0.2225 0.4446
Cu3 0.5290 0.7775 0.5554
Cu4 0.7775 0.5290 0.0554
S1 0.1594 0.8406 0.2500
S2 0.4091 0.5909 0.7500
S3 0.5909 0.4091 0.2500
S4 0.8406 0.1594 0.7500

***

This record from Alexandria via LeMat-Bulk describes an optimized crystal structure of K3Rb8. The functional is GGA-PBE.

Volume: 940.9 Å³/cell
Symmetry: C2/m, No. 12
Final energy: -0.9972 eV per atom
Spin magnetization: 0.0 μB per formula unit

Lattice parameters (Å, degrees): 8.6236 8.6236 17.2082 102.24 102.24 49.12
Fractional positions:
K1 0.0000 0.0000 0.0000
K2 0.0888 0.0888 0.6337
K3 0.9112 0.9112 0.3663
Rb1 0.1824 0.1824 0.2725
Rb2 0.2700 0.2700 0.9082
Rb3 0.3645 0.3645 0.5446
Rb4 0.4560 0.4560 0.1815
Rb5 0.5440 0.5440 0.8185
Rb6 0.6355 0.6355 0.4554
Rb7 0.7300 0.7300 0.0918
Rb8 0.8176 0.8176 0.7275

***

This record from Alexandria via LeMat-Bulk describes an optimized crystal structure of NpHSe. The functional is GGA-PBE.

Volume: 52.6 Å³/cell
Symmetry: I4mm, No. 107
Final energy: -7.0491 eV per atom
Spin magnetization: 4.0 μB per formula unit

Lattice parameters (Å, degrees): 5.1601 5.1601 5.1601 141.62 141.62 55.40
Fractional positions:
Np1 0.0000 0.0000 0.0000
H1 0.4042 0.4042 0.0000
Se1 0.6819 0.6819 0.0000

***

This record from Alexandria via LeMat-Bulk describes an optimized crystal structure of TaAl2Os. The functional is GGA-PBE.

Volume: 62.9 Å³/cell
Symmetry: Cmmm, No. 65
Final energy: -7.7281 eV per atom
Spin magnetization: 0.0 μB per formula unit

Lattice parameters (Å, degrees): 2.8177 2.8177 8.6481 90.00 90.00 113.71
Fractional positions:
Ta1 0.0000 0.0000 0.0000
Al1 0.5000 0.5000 0.2676
Al2 0.5000 0.5000 0.7324
Os1 0.0000 0.0000 0.5000

***

This record from Alexandria via LeMat-Bulk describes an optimized crystal structure of CaTb2Hg. The functional is GGA-PBE.

Volume: 127.8 Å³/cell
Symmetry: P4/mmm, No. 123
Final energy: -3.0399 eV per atom
Spin magnetization: 0.0 μB per formula unit

Lattice parameters (Å, degrees): 3.7493 3.7493 9.0902 90.00 90.00 90.00
Fractional positions:
Ca1 0.0000 0.0000 0.0000
Tb1 0.5000 0.5000 0.3036
Tb2 0.5000 0.5000 0.6964
Hg1 0.0000 0.0000 0.5000

***

This record from Alexandria via LeMat-Bulk describes an optimized crystal structure of BaSr2Nd. The functional is GGA-PBE.

Volume: 200.9 Å³/cell
Symmetry: P4/mmm, No. 123
Final energy: -2.3920 eV per atom
Spin magnetization: 0.0 μB per formula unit

Lattice parameters (Å, degrees): 4.4120 4.4120 10.3203 90.00 90.00 90.00
Fractional positions:
Ba1 0.0000 0.0000 0.0000
Sr1 0.5000 0.5000 0.2837
Sr2 0.5000 0.5000 0.7163
Nd1 0.0000 0.0000 0.5000

***

This record from Alexandria via LeMat-Bulk describes an optimized crystal structure of DyTlP2Se6. The functional is GGA-PBE.

Volume: 551.1 Å³/cell
Symmetry: P2_1, No. 4
Uncorrected formation energy: -0.63 eV/atom
Final energy: -4.5023 eV per atom
Spin magnetization: 0.0 μB per formula unit

Lattice parameters (Å, degrees): 6.8319 7.6268 10.5839 90.00 92.03 90.00
Fractional positions:
Dy1 0.2158 0.0000 0.0022
Dy2 0.7842 0.5000 0.9978
Tl1 0.3183 0.2178 0.5055
Tl2 0.6817 0.7178 0.4945
P1 0.1941 0.7300 0.2877
P2 0.3186 0.5111 0.1707
P3 0.6814 0.0111 0.8293
P4 0.8059 0.2300 0.7123
Se1 0.0657 0.3088 0.8360
Se2 0.0796 0.3107 0.1650
Se3 0.1567 0.6348 0.4773
Se4 0.3728 0.6374 0.9828
Se5 0.4001 0.9163 0.7495
Se6 0.4045 0.9434 0.2640
Se7 0.5955 0.4434 0.7360
Se8 0.5999 0.4163 0.2505
Se9 0.6272 0.1374 0.0172
Se10 0.8433 0.1348 0.5227
Se11 0.9204 0.8107 0.8350
Se12 0.9343 0.8088 0.1640

***

This record from Alexandria via LeMat-Bulk describes an optimized crystal structure of TiReNi. The functional is GGA-PBE.

Volume: 84.4 Å³/cell
Symmetry: P1, No. 1
Final energy: -8.8914 eV per atom
Spin magnetization: 0.0 μB per formula unit

Lattice parameters (Å, degrees): 4.4688 4.7856 5.1131 63.62 65.64 63.31
Fractional positions:
Ti1 0.0000 0.0000 0.0000
Ti2 0.2804 0.7955 0.4890
Re1 0.3427 0.3265 0.0011
Re2 0.6905 0.6630 0.9726
Ni1 0.5634 0.1578 0.4994
Ni2 0.9096 0.4735 0.4862

***

This record from Alexandria via LeMat-Bulk describes an optimized crystal structure of GaCu2SiTe. The functional is GGA-PBE.

Volume: 102.0 Å³/cell
Symmetry: P4/mmm, No. 123
Uncorrected formation energy: 0.38 eV/atom
Final energy: -3.5758 eV per atom
Spin magnetization: 0.0 μB per formula unit

Lattice parameters (Å, degrees): 4.5426 4.5426 4.9435 90.00 90.00 90.00
Fractional positions:
Ga1 0.0000 0.0000 0.0000
Cu1 0.0000 0.5000 0.5000
Cu2 0.5000 0.0000 0.5000
Si1 0.0000 0.0000 0.5000
Te1 0.5000 0.5000 0.0000